# 1
PBE KCrBi2Pb, optimized geometry; N(E_F) = 1.37 states/eV per atom; magnetization = 0.188 Bohr magnetons per cell; mass density = 6.3 Mg/m³; final energy = -17.29 eV per cell; space-group type = No. 123
1.0
-0.0318 4.8312 3.6848
2.7930 -2.6151 3.4528
5.1064 2.0182 -2.6020
Bi Pb K Cr
2 1 1 1
Direct
0.0000 0.0000 0.5000 Bi
0.5000 0.0000 0.0000 Bi
0.0000 0.0000 0.0000 Pb
0.5000 0.5000 0.5000 K
0.0000 0.5000 0.0000 Cr

***

# 2
PBE K2CrBiPd, optimized geometry; N(E_F) = 1.26 states/eV per atom; magnetization = 0.550 Bohr magnetons per cell; mass density = 4.1 Mg/m³; final energy = -16.30 eV per cell; space-group type = No. 123
1.0
6.1004 0.0000 0.0000
0.0000 4.9089 0.0000
0.0000 0.0000 6.1004
Cr K Pd Bi
1 2 1 1
Direct
0.0000 0.5000 0.0000 Cr
0.5000 0.0000 0.0000 K
0.0000 0.0000 0.5000 K
0.0000 0.0000 0.0000 Pd
0.5000 0.5000 0.5000 Bi

***

# 3
PBE K3CrBi3S8, optimized geometry; N(E_F) = 0.57 states/eV per atom; magnetization = 1.951 Bohr magnetons per cell; ΔE_f (raw) = -10.56 eV per formula unit; mass density = 4.2 Mg/m³; space-group type = No. 166
1.0
-5.3999 -0.7291 -5.8283
3.5128 -6.4961 3.0202
-6.0451 4.0031 5.0997
Cr S K Bi
1 8 3 3
Direct
0.0000 0.0000 0.5000 Cr
0.7383 0.4765 0.7147 S
0.2071 0.9772 0.6843 S
0.2298 0.0228 0.3157 S
0.7929 0.0228 0.3157 S
0.7929 0.5859 0.3157 S
0.2071 0.4141 0.6843 S
0.7702 0.9772 0.6843 S
0.2617 0.5235 0.2853 S
0.5000 0.5000 0.0000 K
0.0000 0.5000 0.0000 K
0.0000 0.0000 0.0000 K
0.0000 0.5000 0.5000 Bi
0.5000 0.5000 0.5000 Bi
0.5000 0.0000 0.5000 Bi